Material: MnOsO2F
Method: DFT, GGA+U
State: optimized geometry

Output
The total energy comes out at -6.9067 eV per atom. The value obtained for the calculated density is 5.860 Mg/m³. The total moment is 1.094 μB/atom.

Cell: 3.6788 3.6788 6.2016 Å, 90.00 90.00 90.00°
Last column: nearest neighbours and their distance in Å.
Space group P4/mmm (No. 123)
Inequivalent atoms, fractional coordinates:
Mn 0.0000 0.0000 0.0000 (multiplicity 1)  4 F 2.60
Os 0.5000 0.5000 0.5000 (multiplicity 1)  4 O 1.84
O 0.0000 0.5000 0.5000 (multiplicity 2)  2 Os 1.84
F 0.5000 0.5000 0.0000 (multiplicity 1)  4 Mn 2.60